Record 1
First-principles (PBE) data for an optimized crystal structure of AlTl3Bi3S8, as listed in Alexandria via LeMat-Bulk.

Results
- E_tot (eV/atom) = -4.15
- volume (Å³/atom) = 27.2
- formation energy without anion corrections (eV per formula unit) = -6.772
- total moment (μB per formula unit) = 0.000
- symmetry = C2/m

POSCAR file:
```
AlTl3Bi3S8
1.0
6.938 -4.011 0.000
6.938 4.011 0.000
-4.611 0.000 7.341
Al Tl Bi S
1 3 3 8
Cartesian
0.000 0.000 0.000 Al
-2.306 0.000 3.670 Tl
1.163 2.006 3.670 Tl
1.163 -2.006 3.670 Tl
3.469 2.006 0.000 Bi
3.469 -2.006 0.000 Bi
6.938 0.000 0.000 Bi
2.047 0.000 1.425 S
5.917 2.239 1.424 S
3.348 2.239 5.917 S
0.012 0.000 5.719 S
9.254 0.000 1.622 S
5.917 -2.239 1.424 S
3.348 -2.239 5.917 S
7.218 0.000 5.916 S
```

Record 2
First-principles (PBE) data for an optimized crystal structure of AlTl2BiS4, as listed in Alexandria via LeMat-Bulk.

Results
- E_tot (eV/atom) = -4.17
- volume (Å³/atom) = 30.1
- formation energy without anion corrections (eV per formula unit) = -4.489
- total moment (μB per formula unit) = 0.000
- symmetry = Pmn2_1

POSCAR file:
```
AlTl2BiS4
1.0
8.047 0.000 0.000
0.000 9.581 0.000
0.000 0.000 6.239
Al Tl Bi S
2 4 2 8
Cartesian
0.000 1.575 0.000 Al
4.024 8.006 3.120 Al
1.746 6.207 0.383 Tl
2.278 3.374 3.503 Tl
5.769 3.374 3.503 Tl
6.302 6.207 0.383 Tl
0.000 8.613 3.257 Bi
4.024 0.968 0.138 Bi
0.000 1.661 3.958 S
0.000 8.940 0.589 S
1.906 2.691 0.555 S
2.117 6.890 3.674 S
4.024 0.641 3.709 S
4.024 7.920 0.838 S
5.930 6.890 3.674 S
6.141 2.691 0.555 S
```

Record 3
First-principles (PBE) data for an optimized crystal structure of AlVBi2S, as listed in Alexandria via LeMat-Bulk.

Results
- E_tot (eV/atom) = -4.05
- volume (Å³/atom) = 26.9
- formation energy without anion corrections (eV per formula unit) = 4.490
- total moment (μB per formula unit) = 0.008
- symmetry = P4/mmm

POSCAR file:
```
AlVBi2S
1.0
5.581 0.000 0.000
0.000 5.581 0.000
0.000 0.000 4.314
Al V Bi S
1 1 2 1
Cartesian
0.000 0.000 0.000 Al
2.790 2.790 2.157 V
0.000 2.790 0.000 Bi
2.790 0.000 0.000 Bi
0.000 0.000 2.157 S
```

Record 4
First-principles (PBE) data for an optimized crystal structure of Al2BiWS, as listed in Alexandria via LeMat-Bulk.

Results
- E_tot (eV/atom) = -4.97
- volume (Å³/atom) = 21.1
- formation energy without anion corrections (eV per formula unit) = 3.608
- total moment (μB per formula unit) = 0.000
- symmetry = P4/mmm

POSCAR file:
```
Al2BiWS
1.0
4.860 0.000 0.000
0.000 4.860 0.000
0.000 0.000 4.468
Al Bi W S
2 1 1 1
Cartesian
0.000 2.430 0.000 Al
2.430 0.000 0.000 Al
0.000 0.000 2.234 Bi
2.430 2.430 2.234 W
2.430 2.430 0.000 S
```

Record 5
First-principles (PBE) data for an optimized crystal structure of AlZn2BiS, as listed in Alexandria via LeMat-Bulk.

Results
- E_tot (eV/atom) = -2.44
- volume (Å³/atom) = 25.4
- formation energy without anion corrections (eV per formula unit) = 2.083
- total moment (μB per formula unit) = 0.000
- symmetry = P4/mmm

POSCAR file:
```
AlZn2BiS
1.0
4.704 0.000 0.000
0.000 4.704 0.000
0.000 0.000 5.735
Al Zn Bi S
1 2 1 1
Cartesian
0.000 0.000 0.000 Al
0.000 2.352 0.000 Zn
2.352 0.000 0.000 Zn
0.000 0.000 2.867 Bi
2.352 2.352 2.867 S
```

Record 6
First-principles (PBE) data for an optimized crystal structure of AlBiSb2, as listed in Alexandria via LeMat-Bulk.

Results
- ΔE to the lowest computed polymorph (meV per atom) = 176
- E_tot (eV/atom) = -3.70
- volume (Å³/atom) = 26.4
- formation energy without anion corrections (eV per formula unit) = 1.060
- total moment (μB per formula unit) = 0.000
- symmetry = Fm-3m

POSCAR file:
```
AlBiSb2
1.0
0.000 3.749 3.749
3.749 0.000 3.749
3.749 3.749 0.000
Al Bi Sb
1 1 2
Cartesian
0.000 0.000 0.000 Al
3.749 3.749 3.749 Bi
1.875 1.875 1.875 Sb
5.624 5.624 5.624 Sb
```

Record 7
First-principles (PBE) data for an optimized crystal structure of Al2BiSb, as listed in Alexandria via LeMat-Bulk.

Results
- ΔE to the lowest computed polymorph (meV per atom) = 301
- E_tot (eV/atom) = -3.61
- volume (Å³/atom) = 23.9
- formation energy without anion corrections (eV per formula unit) = 1.044
- total moment (μB per formula unit) = 0.000
- symmetry = Fm-3m

POSCAR file:
```
Al2BiSb
1.0
0.000 3.631 3.631
3.631 0.000 3.631
3.631 3.631 0.000
Al Bi Sb
2 1 1
Cartesian
1.816 1.816 1.816 Al
5.447 5.447 5.447 Al
0.000 0.000 0.000 Bi
3.631 3.631 3.631 Sb
```

Record 8
First-principles (PBE) data for an optimized crystal structure of AlBi3Sb, as listed in Alexandria via LeMat-Bulk.

Results
- ΔE to the lowest computed polymorph (meV per atom) = 0
- E_tot (eV/atom) = -3.36
- volume (Å³/atom) = 32.4
- formation energy without anion corrections (eV per formula unit) = 2.705
- total moment (μB per formula unit) = 0.000
- symmetry = Pm-3m

POSCAR file:
```
AlBi3Sb
1.0
5.452 0.000 0.000
0.000 5.452 0.000
0.000 0.000 5.452
Al Bi Sb
1 3 1
Cartesian
0.000 0.000 0.000 Al
0.000 0.000 2.726 Bi
0.000 2.726 0.000 Bi
2.726 0.000 0.000 Bi
2.726 2.726 2.726 Sb
```

Record 9
First-principles (PBE) data for an optimized crystal structure of AlBiSb2, as listed in Alexandria via LeMat-Bulk.

Results
- ΔE to the lowest computed polymorph (meV per atom) = 0
- E_tot (eV/atom) = -3.88
- volume (Å³/atom) = 36.8
- formation energy without anion corrections (eV per formula unit) = 0.356
- total moment (μB per formula unit) = 0.000
- symmetry = I-42d

POSCAR file:
```
AlBiSb2
1.0
-3.376 3.376 6.464
3.376 -3.376 6.464
3.376 3.376 -6.464
Al Bi Sb
2 2 4
Cartesian
0.000 0.000 0.000 Al
0.000 3.376 3.232 Al
3.376 0.000 3.232 Bi
0.000 0.000 6.464 Bi
5.063 1.351 -1.616 Sb
1.351 1.688 1.616 Sb
-1.688 2.024 4.848 Sb
2.024 1.688 8.080 Sb
```

Record 10
First-principles (PBE) data for an optimized crystal structure of AlBi3Sb, as listed in Alexandria via LeMat-Bulk.

Results
- ΔE to the lowest computed polymorph (meV per atom) = 312
- E_tot (eV/atom) = -3.05
- volume (Å³/atom) = 40.4
- formation energy without anion corrections (eV per formula unit) = 4.264
- total moment (μB per formula unit) = 0.000
- symmetry = Pm-3m

POSCAR file:
```
AlBi3Sb
1.0
5.866 0.000 0.000
0.000 5.866 0.000
0.000 0.000 5.866
Al Bi Sb
1 3 1
Cartesian
0.000 0.000 0.000 Al
0.000 2.933 2.933 Bi
2.933 0.000 2.933 Bi
2.933 2.933 0.000 Bi
2.933 2.933 2.933 Sb
```

Record 11
First-principles (PBE) data for an optimized crystal structure of AlBi2Sb2, as listed in Alexandria via LeMat-Bulk.

Results
- E_tot (eV/atom) = -3.69
- volume (Å³/atom) = 29.8
- formation energy without anion corrections (eV per formula unit) = 1.282
- total moment (μB per formula unit) = 0.000
- symmetry = P4/mbm

POSCAR file:
```
AlBi2Sb2
1.0
8.238 0.000 0.000
0.000 8.238 0.000
0.000 0.000 4.385
Al Bi Sb
2 4 4
Cartesian
0.000 0.000 0.000 Al
4.119 4.119 0.000 Al
1.226 2.893 2.192 Bi
2.893 7.012 2.192 Bi
5.345 1.226 2.192 Bi
7.012 5.345 2.192 Bi
1.337 5.456 0.000 Sb
2.782 1.337 0.000 Sb
5.456 6.901 0.000 Sb
6.901 2.782 0.000 Sb
```

Record 12
First-principles (PBE) data for an optimized crystal structure of Al2BiSb, as listed in Alexandria via LeMat-Bulk.

Results
- ΔE to the lowest computed polymorph (meV per atom) = 0
- E_tot (eV/atom) = -3.91
- volume (Å³/atom) = 31.8
- formation energy without anion corrections (eV per formula unit) = -0.159
- total moment (μB per formula unit) = 0.000
- symmetry = I-42d

POSCAR file:
```
Al2BiSb
1.0
-3.170 3.170 6.333
3.170 -3.170 6.333
3.170 3.170 -6.333
Al Bi Sb
4 2 2
Cartesian
4.755 1.521 -1.583 Al
1.521 1.585 1.583 Al
-1.585 1.649 4.750 Al
1.649 1.585 7.917 Al
3.170 0.000 3.167 Bi
0.000 0.000 6.333 Bi
0.000 0.000 0.000 Sb
0.000 3.170 3.167 Sb
```

Record 13
First-principles (PBE) data for an optimized crystal structure of AlBiSb, as listed in Alexandria via LeMat-Bulk.

Results
- E_tot (eV/atom) = -3.73
- volume (Å³/atom) = 32.3
- formation energy without anion corrections (eV per formula unit) = 0.544
- total moment (μB per formula unit) = 0.000
- symmetry = C2/m

POSCAR file:
```
AlBiSb
1.0
7.632 -2.076 0.000
7.632 2.076 0.000
-1.377 0.000 6.114
Al Bi Sb
2 2 2
Cartesian
2.484 0.000 2.220 Al
11.403 0.000 3.894 Al
0.112 0.000 5.703 Bi
13.775 0.000 0.411 Bi
5.203 0.000 2.709 Sb
8.684 0.000 3.404 Sb
```

Record 14
First-principles (PBE) data for an optimized crystal structure of Sr2AlBiSb, as listed in Alexandria via LeMat-Bulk.

Results
- E_tot (eV/atom) = -3.67
- volume (Å³/atom) = 34.7
- formation energy without anion corrections (eV per formula unit) = -3.263
- total moment (μB per formula unit) = 0.000
- symmetry = P2_1/m

POSCAR file:
```
Sr2AlBiSb
1.0
8.087 0.000 0.000
0.000 5.138 0.000
-0.004 0.000 8.351
Sr Al Bi Sb
4 2 2 2
Cartesian
1.830 1.284 4.135 Sr
1.843 1.284 0.038 Sr
6.240 3.853 8.313 Sr
6.252 3.853 4.215 Sr
3.472 3.853 2.106 Al
4.611 1.284 6.245 Al
3.350 3.853 6.255 Bi
4.732 1.284 2.096 Bi
0.807 3.853 2.083 Sb
7.275 1.284 6.267 Sb
```

Record 15
First-principles (PBE) data for an optimized crystal structure of AlBiSb2Te, as listed in Alexandria via LeMat-Bulk.

Results
- ΔE to the lowest computed polymorph (meV per atom) = 522
- E_tot (eV/atom) = -2.90
- volume (Å³/atom) = 41.0
- formation energy without anion corrections (eV per formula unit) = 4.491
- total moment (μB per formula unit) = 0.610
- symmetry = P4/mmm

POSCAR file:
```
AlBiSb2Te
1.0
5.824 0.000 0.000
0.000 5.824 0.000
0.000 0.000 6.041
Al Bi Sb Te
1 1 2 1
Cartesian
0.000 0.000 0.000 Al
2.912 2.912 3.021 Bi
0.000 2.912 3.021 Sb
2.912 0.000 3.021 Sb
2.912 2.912 0.000 Te
```

Record 16
First-principles (PBE) data for an optimized crystal structure of AlBiSb2Te, as listed in Alexandria via LeMat-Bulk.

Results
- ΔE to the lowest computed polymorph (meV per atom) = 0
- E_tot (eV/atom) = -3.43
- volume (Å³/atom) = 30.0
- formation energy without anion corrections (eV per formula unit) = 1.883
- total moment (μB per formula unit) = 0.000
- symmetry = P4/mmm

POSCAR file:
```
AlBiSb2Te
1.0
5.331 0.000 0.000
0.000 5.331 0.000
0.000 0.000 5.274
Al Bi Sb Te
1 1 2 1
Cartesian
0.000 0.000 0.000 Al
2.665 2.665 2.637 Bi
0.000 2.665 0.000 Sb
2.665 0.000 0.000 Sb
0.000 0.000 2.637 Te
```

Record 17
First-principles (PBE) data for an optimized crystal structure of AlZn2BiSb, as listed in Alexandria via LeMat-Bulk.

Results
- E_tot (eV/atom) = -2.12
- volume (Å³/atom) = 30.4
- formation energy without anion corrections (eV per formula unit) = 3.694
- total moment (μB per formula unit) = 0.000
- symmetry = P4/mmm

POSCAR file:
```
AlZn2BiSb
1.0
5.266 0.000 0.000
0.000 5.266 0.000
0.000 0.000 5.485
Al Zn Bi Sb
1 2 1 1
Cartesian
0.000 0.000 0.000 Al
0.000 2.633 2.742 Zn
2.633 0.000 2.742 Zn
0.000 0.000 2.742 Bi
2.633 2.633 0.000 Sb
```

Record 18
First-principles (PBE) data for an optimized crystal structure of ScAl4Bi, as listed in Alexandria via LeMat-Bulk.

Results
- E_tot (eV/atom) = -4.30
- volume (Å³/atom) = 19.8
- calculated formation energy (meV per atom) = -105
- total moment (μB per formula unit) = 0.000
- symmetry = F-43m

POSCAR file:
```
ScAl4Bi
1.0
0.000 3.903 3.903
3.903 0.000 3.903
3.903 3.903 0.000
Sc Al Bi
1 4 1
Cartesian
0.000 0.000 0.000 Sc
2.922 2.922 2.922 Al
4.884 4.884 2.922 Al
4.884 2.922 4.884 Al
2.922 4.884 4.884 Al
5.854 5.854 5.854 Bi
```

Record 19
First-principles (PBE) data for an optimized crystal structure of Sc3AlBi, as listed in Alexandria via LeMat-Bulk.

Results
- ΔE to the lowest computed polymorph (meV per atom) = 442
- E_tot (eV/atom) = -4.91
- volume (Å³/atom) = 31.1
- calculated formation energy (meV per atom) = 412
- total moment (μB per formula unit) = 0.000
- symmetry = Pm-3m

POSCAR file:
```
Sc3AlBi
1.0
5.376 0.000 0.000
0.000 5.376 0.000
0.000 0.000 5.376
Sc Al Bi
3 1 1
Cartesian
0.000 0.000 2.688 Sc
0.000 2.688 0.000 Sc
2.688 0.000 0.000 Sc
2.688 2.688 2.688 Al
0.000 0.000 0.000 Bi
```

Record 20
First-principles (PBE) data for an optimized crystal structure of Sc4AlBi, as listed in Alexandria via LeMat-Bulk.

Results
- E_tot (eV/atom) = -5.62
- volume (Å³/atom) = 25.0
- calculated formation energy (meV per atom) = -128
- total moment (μB per formula unit) = 0.000
- symmetry = C2/c

POSCAR file:
```
Sc4AlBi
1.0
7.716 -2.881 0.000
7.716 2.881 0.000
-1.206 0.000 6.753
Sc Al Bi
8 2 2
Cartesian
5.870 2.232 3.855 Sc
7.751 2.232 6.275 Sc
4.181 0.778 6.015 Sc
4.784 -0.778 2.638 Sc
9.441 0.778 4.116 Sc
10.044 -0.778 0.739 Sc
6.474 -2.232 0.479 Sc
8.354 -2.232 2.898 Sc
3.255 1.440 3.377 Al
3.858 -1.440 0.000 Al
7.414 0.703 1.688 Bi
6.811 -0.703 5.065 Bi
```

Record 21
First-principles (PBE) data for an optimized crystal structure of Sc3AlBi, as listed in Alexandria via LeMat-Bulk.

Results
- ΔE to the lowest computed polymorph (meV per atom) = 0
- E_tot (eV/atom) = -5.35
- volume (Å³/atom) = 26.8
- calculated formation energy (meV per atom) = -29
- total moment (μB per formula unit) = 0.000
- symmetry = Pm-3m

POSCAR file:
```
Sc3AlBi
1.0
5.115 0.000 0.000
0.000 5.115 0.000
0.000 0.000 5.115
Sc Al Bi
3 1 1
Cartesian
0.000 0.000 2.558 Sc
0.000 2.558 0.000 Sc
2.558 0.000 0.000 Sc
0.000 0.000 0.000 Al
2.558 2.558 2.558 Bi
```

Record 22
First-principles (PBE) data for an optimized crystal structure of ScTiAlBi2, as listed in Alexandria via LeMat-Bulk.

Results
- E_tot (eV/atom) = -4.39
- volume (Å³/atom) = 29.6
- calculated formation energy (meV per atom) = 761
- total moment (μB per formula unit) = 0.001
- symmetry = P4/mmm

POSCAR file:
```
ScTiAlBi2
1.0
5.552 0.000 0.000
0.000 5.552 0.000
0.000 0.000 4.807
Sc Ti Al Bi
1 1 1 2
Cartesian
0.000 0.000 0.000 Sc
0.000 0.000 2.403 Ti
2.776 2.776 2.403 Al
0.000 2.776 0.000 Bi
2.776 0.000 0.000 Bi
```

Record 23
First-principles (PBE) data for an optimized crystal structure of ScAlBiW2, as listed in Alexandria via LeMat-Bulk.

Results
- E_tot (eV/atom) = -5.77
- volume (Å³/atom) = 26.6
- calculated formation energy (meV per atom) = 2201
- total moment (μB per formula unit) = 2.389
- symmetry = P4/mmm

POSCAR file:
```
ScAlBiW2
1.0
5.105 0.000 0.000
0.000 5.105 0.000
0.000 0.000 5.106
Sc Al Bi W
1 1 1 2
Cartesian
0.000 0.000 0.000 Sc
2.552 2.552 0.000 Al
2.552 2.552 2.553 Bi
0.000 2.552 2.553 W
2.552 0.000 2.553 W
```

Record 24
First-principles (PBE) data for an optimized crystal structure of Al2BiSe4, as listed in Alexandria via LeMat-Bulk.

Results
- E_tot (eV/atom) = -4.26
- volume (Å³/atom) = 28.8
- formation energy without anion corrections (eV per formula unit) = -4.513
- total moment (μB per formula unit) = 1.001
- symmetry = I4/m

POSCAR file:
```
Al2BiSe4
1.0
-3.990 3.990 3.167
3.990 -3.990 3.167
3.990 3.990 -3.167
Al Bi Se
2 1 4
Cartesian
3.990 0.000 1.583 Al
0.000 3.990 1.583 Al
0.000 0.000 0.000 Bi
2.687 1.305 0.000 Se
2.686 -1.303 3.167 Se
1.305 5.294 0.000 Se
1.303 2.686 3.167 Se
```